## Sm10As8Au3O10 (PBE-GGA)

Data for Sm10As8Au3O10 after structural relaxation.

Cell: 9.668 9.668 9.668 Å, 123.69 123.69 83.71°
Sites, in units of the cell vectors:
Sm 0.030 0.225 0.605
Sm 0.164 0.164 0.000
Sm 0.225 0.620 0.195
Sm 0.380 0.575 0.605
Sm 0.425 0.030 0.805
Sm 0.575 0.970 0.195
Sm 0.620 0.425 0.395
Sm 0.775 0.380 0.805
Sm 0.836 0.836 0.000
Sm 0.970 0.775 0.395
As 0.088 0.226 0.315
As 0.226 0.912 0.138
As 0.251 0.630 0.881
As 0.370 0.251 0.621
As 0.630 0.749 0.379
As 0.749 0.370 0.119
As 0.774 0.088 0.862
As 0.912 0.774 0.685
Au 0.000 0.500 0.500
Au 0.500 0.000 0.500
Au 0.500 0.500 0.000
O 0.048 0.347 0.903
O 0.146 0.048 0.702
O 0.250 0.750 0.500
O 0.347 0.444 0.298
O 0.444 0.146 0.097
O 0.556 0.854 0.903
O 0.653 0.556 0.702
O 0.750 0.250 0.500
O 0.854 0.952 0.298
O 0.952 0.653 0.097

## Properties
total energy	-6.86	eV/atom
total magnetization	0.0	Bohr magnetons per cell